1.
Here is crystalline Ce8Hg2Os3 at its relaxed geometry from Alexandria. Energies are from PBE-GGA.

**Formation enthalpy at 0 K**: -0.15 eV/atom
**Crystal system**: monoclinic
**Relative energy among the computed polymorphs**: 0.0000 eV per atom

a b c (Å): 8.0373 4.6929 8.8992
angles (deg): 90.00 105.11 90.00
Atoms (fractional coordinates):
Ce 0.0707 0.0000 0.3664
Ce 0.2280 0.5000 0.1236
Ce 0.2418 0.5000 0.5596
Ce 0.3150 0.0000 0.9238
Ce 0.6850 0.0000 0.0762
Ce 0.7582 0.5000 0.4404
Ce 0.7720 0.5000 0.8764
Ce 0.9293 0.0000 0.6336
Hg 0.4682 0.0000 0.3314
Hg 0.5318 0.0000 0.6686
Os 0.0000 0.0000 0.0000
Os 0.0862 0.5000 0.7945
Os 0.9138 0.5000 0.2055

***

2.
Here is crystalline Na4Dy3ErSe8 at its relaxed geometry from Alexandria. Energies are from PBE-GGA.

**Crystal system**: trigonal
**Uncorrected formation energy**: -2635 kJ/mol of formula units

a b c (Å): 8.4801 8.4801 8.4801
angles (deg): 58.39 58.39 58.39
Atoms (fractional coordinates):
Na 0.0000 0.0000 0.0000
Na 0.0000 0.5000 0.5000
Na 0.5000 0.0000 0.5000
Na 0.5000 0.5000 0.0000
Dy 0.0000 0.0000 0.5000
Dy 0.0000 0.5000 0.0000
Dy 0.5000 0.0000 0.0000
Er 0.5000 0.5000 0.5000
Se 0.2432 0.2432 0.2432
Se 0.2447 0.7420 0.7420
Se 0.2580 0.2580 0.7553
Se 0.2580 0.7553 0.2580
Se 0.7420 0.2447 0.7420
Se 0.7420 0.7420 0.2447
Se 0.7553 0.2580 0.2580
Se 0.7568 0.7568 0.7568

***

| no. | raw total energy (eV per atom) |
| --- | --- |
| 1 | -6.4416 |
| 2 | -4.9271 |